Ca2AgGe2: PBEsol geometry, meta-GGA SCAN.

Calculated values
symmetry	P4/mbm (127)
formation energy from the elements	-0.529	eV/atom
density of states at the Fermi level	3.84	states/eV/cell

a b c (Å): 4.514 6.998 6.998
angles (deg): 90.00 90.00 90.00
Positions (direct):
Ge 0.000 0.367 0.867
Ge 0.000 0.867 0.633
Ge 0.000 0.633 0.133
Ge 0.000 0.133 0.367
Ca 0.500 0.169 0.669
Ca 0.500 0.669 0.831
Ca 0.500 0.831 0.331
Ca 0.500 0.331 0.169
Ag 0.000 0.000 0.000
Ag 0.000 0.500 0.500